Entry from Alexandria: LaAlCd2 after structural relaxation (PBE-GGA).

Output
M_tot   0.003 μB/atom
SG   No. 160
Calculated volume   99.3 Å³ per cell
Theoretical density   6.53 Mg/m³
DFT formation energy   28 meV per atom

a = 10.7722 Å, b = 10.7722 Å, c = 10.7722 Å
α = 17.56°, β = 17.56°, γ = 17.56°
Fractional coordinates of all 4 atoms:
Cd1 0.0041 0.0041 0.0041
Cd2 0.2562 0.2562 0.2562
La1 0.4966 0.4966 0.4966
Al1 0.7431 0.7431 0.7431

Entry from Alexandria: CdGeNF2 after structural relaxation (PBE-GGA).

Output
M_tot   0.000 μB/atom
SG   No. 123
ΔE_f (raw)   -0.68 eV/atom
Calculated volume   67.6 Å³ per cell
Theoretical density   5.82 Mg/m³

a = 4.1469 Å, b = 4.1469 Å, c = 3.9314 Å
α = 90.00°, β = 90.00°, γ = 90.00°
Fractional coordinates of all 5 atoms:
F1 0.0000 0.5000 0.0000
F2 0.5000 0.0000 0.0000
N1 0.0000 0.0000 0.5000
Ge1 0.0000 0.0000 0.0000
Cd1 0.5000 0.5000 0.5000

Entry from Alexandria: Tl2BiRu after structural relaxation (PBE-GGA).

Output
M_tot   0.187 μB/atom
SG   No. 225
Calculated volume   96.4 Å³ per cell
Theoretical density   12.38 Mg/m³
DFT formation energy   712 meV per atom

a = 5.1467 Å, b = 5.1467 Å, c = 5.1467 Å
α = 60.00°, β = 60.00°, γ = 60.00°
Fractional coordinates of all 4 atoms:
Ru1 0.0000 0.0000 0.0000
Tl1 0.7500 0.7500 0.7500
Tl2 0.2500 0.2500 0.2500
Bi1 0.5000 0.5000 0.5000

Entry from Alexandria: BaGeO3 after structural relaxation (PBE-GGA).

Output
M_tot   0.000 μB/atom
SG   No. 221
ΔE_f (raw)   -2.04 eV/atom
Calculated volume   61.2 Å³ per cell
Theoretical density   7.00 Mg/m³

a = 3.9399 Å, b = 3.9399 Å, c = 3.9399 Å
α = 90.00°, β = 90.00°, γ = 90.00°
Fractional coordinates of all 5 atoms:
O1 0.0000 0.0000 0.5000
O2 0.5000 0.0000 0.0000
O3 0.0000 0.5000 0.0000
Ge1 0.0000 0.0000 0.0000
Ba1 0.5000 0.5000 0.5000

Entry from Alexandria: Li2MgCd5In2 after structural relaxation (PBE-GGA).

Output
M_tot   0.000 μB/atom
SG   No. 127
Calculated volume   434.1 Å³ per cell
Theoretical density   6.35 Mg/m³
DFT formation energy   -107 meV per atom

a = 4.5330 Å, b = 9.7857 Å, c = 9.7857 Å
α = 90.00°, β = 90.00°, γ = 90.00°
Fractional coordinates of all 20 atoms:
Li1 0.0000 0.6178 0.8822
Li2 0.0000 0.1178 0.6178
Li3 0.0000 0.8822 0.3822
Li4 0.0000 0.3822 0.1178
Cd1 0.5000 0.7980 0.9219
Cd2 0.5000 0.0781 0.7980
Cd3 0.5000 0.7020 0.4219
Cd4 0.5000 0.2980 0.5781
Cd5 0.5000 0.9219 0.2020
Cd6 0.5000 0.5000 0.0000
Cd7 0.5000 0.4219 0.2980
Cd8 0.5000 0.5781 0.7020
Cd9 0.5000 0.0000 0.5000
Cd10 0.5000 0.2020 0.0781
In1 0.0000 0.1765 0.3235
In2 0.0000 0.3235 0.8235
In3 0.0000 0.8235 0.6765
In4 0.0000 0.6765 0.1765
Mg1 0.0000 0.5000 0.5000
Mg2 0.0000 0.0000 0.0000

Entry from Alexandria: LaCrSe2 after structural relaxation (PBE-GGA).

Output
M_tot   1.143 μB/atom
SG   No. 123
ΔE_f (raw)   -0.94 eV/atom
Calculated volume   90.8 Å³ per cell
Theoretical density   6.38 Mg/m³

a = 4.9620 Å, b = 4.9579 Å, c = 3.6912 Å
α = 90.00°, β = 90.00°, γ = 90.00°
Fractional coordinates of all 4 atoms:
Se1 0.0000 0.0000 0.0000
Se2 0.5000 0.5000 0.0000
La1 0.0000 0.5000 0.5000
Cr1 0.5000 0.0000 0.5000

Entry from Alexandria: CdSb2TeIr after structural relaxation (PBE-GGA).

Output
M_tot   0.000 μB/atom
SG   No. 123
ΔE_f (raw)   0.41 eV/atom
Calculated volume   149.3 Å³ per cell
Theoretical density   7.52 Mg/m³

a = 5.0748 Å, b = 5.0748 Å, c = 5.7971 Å
α = 90.00°, β = 90.00°, γ = 90.00°
Fractional coordinates of all 5 atoms:
Te1 0.0000 0.0000 0.5000
Ir1 0.0000 0.0000 0.0000
Sb1 0.5000 0.0000 0.0000
Sb2 0.0000 0.5000 0.0000
Cd1 0.5000 0.5000 0.5000

Entry from Alexandria: ScIn5Hg6 after structural relaxation (PBE-GGA).

Output
M_tot   0.000 μB/atom
SG   No. 10
Calculated volume   300.1 Å³ per cell
Theoretical density   10.09 Mg/m³
DFT formation energy   -52 meV per atom

a = 4.8322 Å, b = 8.0728 Å, c = 8.0580 Å
α = 90.00°, β = 72.67°, γ = 90.00°
Fractional coordinates of all 12 atoms:
In1 0.3421 0.0000 0.3290
In2 0.0000 0.5000 0.0000
In3 0.6729 0.5000 0.6473
In4 0.3271 0.5000 0.3527
In5 0.6579 0.0000 0.6710
Hg1 0.8447 0.7598 0.3217
Hg2 0.1553 0.2402 0.6783
Hg3 0.8447 0.2402 0.3217
Hg4 0.5000 0.7547 0.0000
Hg5 0.1553 0.7598 0.6783
Hg6 0.5000 0.2453 0.0000
Sc1 0.0000 0.0000 0.0000

Entry from Alexandria: Sr2YIr after structural relaxation (PBE-GGA).

Output
M_tot   0.000 μB/atom
SG   No. 44
Calculated volume   134.9 Å³ per cell
Theoretical density   5.62 Mg/m³
DFT formation energy   -158 meV per atom

a = 6.9061 Å, b = 6.9061 Å, c = 6.9061 Å
α = 147.84°, β = 129.03°, γ = 61.56°
Fractional coordinates of all 4 atoms:
Sr1 0.2532 0.7532 0.5000
Sr2 0.9350 0.9350 0.0000
Y1 0.5776 0.5776 0.0000
Ir1 0.7342 0.2342 0.5000

Entry from Alexandria: Er2NpPaN4 after structural relaxation (PBE-GGA).

Output
M_tot   0.465 μB/atom
SG   No. 10
ΔE_f (raw)   -1.55 eV/atom
Calculated volume   116.7 Å³ per cell
Theoretical density   12.21 Mg/m³

a = 3.4476 Å, b = 5.9680 Å, c = 6.0167 Å
α = 109.44°, β = 90.00°, γ = 90.00°
Fractional coordinates of all 8 atoms:
Np1 0.5000 0.5000 0.0000
N1 0.5000 0.2457 0.2479
N2 0.0000 0.7509 0.2461
N3 0.5000 0.7543 0.7521
N4 0.0000 0.2491 0.7539
Pa1 0.0000 0.0000 0.0000
Er1 0.0000 0.5000 0.5000
Er2 0.5000 0.0000 0.5000

Entry from Alexandria: HoScAlMo after structural relaxation (PBE-GGA).

Output
M_tot   0.000 μB/atom
SG   No. 216
Calculated volume   81.4 Å³ per cell
Theoretical density   6.79 Mg/m³
DFT formation energy   -4 meV per atom

a = 4.8653 Å, b = 4.8653 Å, c = 4.8653 Å
α = 60.00°, β = 60.00°, γ = 60.00°
Fractional coordinates of all 4 atoms:
Sc1 0.0000 0.0000 0.0000
Ho1 0.5000 0.5000 0.5000
Mo1 0.7500 0.7500 0.7500
Al1 0.2500 0.2500 0.2500

Entry from Alexandria: Li2ThMoN4 after structural relaxation (PBE-GGA).

Output
M_tot   0.000 μB/atom
SG   No. 31
ΔE_f (raw)   -0.90 eV/atom
Calculated volume   205.5 Å³ per cell
Theoretical density   6.43 Mg/m³

a = 5.1231 Å, b = 5.2073 Å, c = 7.7027 Å
α = 90.00°, β = 90.00°, γ = 90.00°
Fractional coordinates of all 16 atoms:
Th1 0.4782 0.7213 0.0000
Th2 0.9782 0.2787 0.5000
Mo1 0.4990 0.8085 0.5000
Mo2 0.9990 0.1915 0.0000
N1 0.8732 0.3360 0.2080
N2 0.9393 0.8374 0.0000
N3 0.3732 0.6640 0.2920
N4 0.4393 0.1626 0.5000
N5 0.8643 0.7955 0.5000
N6 0.3732 0.6640 0.7080
N7 0.8732 0.3360 0.7920
N8 0.3643 0.2045 0.0000
Li1 0.4864 0.2823 0.2509
Li2 0.4864 0.2823 0.7491
Li3 0.9864 0.7177 0.2491
Li4 0.9864 0.7177 0.7509

Entry from Alexandria: Na2TlInTe after structural relaxation (PBE-GGA).

Output
M_tot   0.000 μB/atom
SG   No. 123
ΔE_f (raw)   0.14 eV/atom
Calculated volume   204.2 Å³ per cell
Theoretical density   4.01 Mg/m³

a = 5.7514 Å, b = 6.1732 Å, c = 5.7514 Å
α = 90.00°, β = 90.00°, γ = 90.00°
Fractional coordinates of all 5 atoms:
In1 0.5000 0.5000 0.5000
Tl1 0.0000 0.0000 0.0000
Na1 0.5000 0.0000 0.0000
Na2 0.0000 0.0000 0.5000
Te1 0.0000 0.5000 0.0000